A relaxed Pr4AsCBr2 crystal, computed with PBE-GGA.

The structure belongs to space group P2/m (No. 10); the cell edges are 7.209, 4.039 and 7.803 Å and the angles 90.00°, 107.40° and 90.00°. The asymmetric unit holds Pr at (0.203, 0.000, 0.190), Pr at (0.232, 0.500, 0.803), As at (0.500, 0.000, 0.000), C at (0.000, 0.500, 0.000), Br at (0.000, 0.000, 0.500) and Br at (0.500, 0.500, 0.500).

As for the density of states at the Fermi level: 0.32 states/eV per atom. Its total magnetic moment is 0.0 μB per cell. The value obtained for the formation energy without anion corrections is -1.1384 eV per atom.

=====

A relaxed As2PtCBr crystal, computed with PBE-GGA.

The structure belongs to space group P4/mmm (No. 123); the cell edges are 4.343, 4.343 and 4.478 Å and the angles 90.00°, 90.00° and 90.00°. The asymmetric unit holds As at (0.000, 0.500, 0.000), Pt at (0.000, 0.000, 0.500), C at (0.500, 0.500, 0.000) and Br at (0.500, 0.500, 0.500).

As for the density of states at the Fermi level: 0.61 states/eV per atom. Its total magnetic moment is 0.0 μB per cell. The value obtained for the formation energy without anion corrections is 1.2621 eV per atom. The energy above the most stable polymorph in this dataset is 0.000 eV per atom.

=====

A relaxed AsPtCBr2 crystal, computed with PBE-GGA.

The structure belongs to space group P4/mmm (No. 123); the cell edges are 5.312, 5.312 and 4.719 Å and the angles 90.00°, 90.00° and 90.00°. The asymmetric unit holds As at (0.000, 0.000, 0.000), Pt at (0.000, 0.000, 0.500), C at (0.500, 0.500, 0.000) and Br at (0.000, 0.500, 0.500).

As for the density of states at the Fermi level: 0.70 states/eV per atom. Its total magnetic moment is 1.7 μB per cell. The value obtained for the formation energy without anion corrections is 1.6026 eV per atom. The energy above the most stable polymorph in this dataset is 0.108 eV per atom.

=====

A relaxed As2PtCBr crystal, computed with PBE-GGA.

The structure belongs to space group P4/mmm (No. 123); the cell edges are 4.867, 4.867 and 5.276 Å and the angles 90.00°, 90.00° and 90.00°. The asymmetric unit holds As at (0.000, 0.500, 0.000), Pt at (0.000, 0.000, 0.000), C at (0.500, 0.500, 0.500) and Br at (0.000, 0.000, 0.500).

As for the density of states at the Fermi level: 0.99 states/eV per atom. Its total magnetic moment is 1.7 μB per cell. The value obtained for the formation energy without anion corrections is 1.7722 eV per atom. The energy above the most stable polymorph in this dataset is 0.510 eV per atom.